A relaxed structure of LaNbFe2Cu, computed with PBE.

abc: 4.483 4.483 5.004
angles: 90.00 90.00 90.00
Sites, in units of the cell vectors:
La 0.000 0.000 0.000
Nb 0.000 0.000 0.500
Fe 0.000 0.500 0.000
Fe 0.500 0.000 0.000
Cu 0.500 0.500 0.500

ΔE_f = 915 kJ/mol of formula units
Space-group type = No. 123
DOS(E_F) = 1.2595 states/eV/atom